No. 1
VASP calculation (PBE) on a relaxed Li2LaTc2 crystal.

Unit cell a=8.0550 b=8.0550 c=2.7392 alpha=90.00 beta=90.00 gamma=90.00
Positions (direct):
Li (0.1825, 0.3175, 0.0000)
Li (0.3175, 0.8175, 0.0000)
Li (0.6825, 0.1825, 0.0000)
Li (0.8175, 0.6825, 0.0000)
La (0.0000, 0.0000, 0.0000)
La (0.5000, 0.5000, 0.0000)
Tc (0.1007, 0.6007, 0.5000)
Tc (0.3993, 0.1007, 0.5000)
Tc (0.6007, 0.8993, 0.5000)
Tc (0.8993, 0.3993, 0.5000)

## Properties
Total magnetic moment = 0.00 Bohr magnetons per cell
Distance to the lowest polymorph of the same formula = 11.5 meV/atom
Calculated volume = 17.77 Å³/atom
Energy of formation from the pure elements = 0.395 eV/atom

=====

No. 2
VASP calculation (PBE) on a relaxed LiLaTc2 crystal.

Unit cell a=4.2352 b=4.2352 c=5.8191 alpha=111.52 beta=111.52 gamma=59.97
Positions (direct):
Li (0.0000, 0.0000, 0.0000)
La (0.7931, 0.7931, 0.3780)
Tc (0.2794, 0.2794, 0.8388)
Tc (0.5850, 0.5850, 0.7555)

## Properties
Total magnetic moment = 0.00 Bohr magnetons per cell
Distance to the lowest polymorph of the same formula = 0.0 meV/atom
Calculated volume = 20.46 Å³/atom
Energy of formation from the pure elements = 0.118 eV/atom